Entry 1:
# SiMo2WI

A geometry-optimized SiMo2WI structure (PBE, the Alexandria database).

Structure (CIF):
```
data_SiMo2WI
_symmetry_space_group_name_H-M 'P 4/m m m'
_symmetry_Int_Tables_number 123
_symmetry_space_group_name_Hall '-P 4 2'
_cell_length_a 4.5452
_cell_length_b 4.5452
_cell_length_c 5.0301
_cell_angle_alpha 90.00
_cell_angle_beta 90.00
_cell_angle_gamma 90.00
loop_
_atom_site_label
_atom_site_type_symbol
_atom_site_fract_x
_atom_site_fract_y
_atom_site_fract_z
Si1 Si 0.0000 0.0000 0.0000
Mo1 Mo 0.0000 0.5000 0.0000
W1 W 0.5000 0.5000 0.5000
I1 I 0.0000 0.0000 0.5000
```

Computed properties:
Fermi-level density of states: 6.9 states/eV per cell
Uncorrected formation energy: 2.1000 eV per atom

Entry 2:
# ZnSiMo2I

A geometry-optimized ZnSiMo2I structure (PBE, the Alexandria database).

Structure (CIF):
```
data_ZnSiMo2I
_symmetry_space_group_name_H-M 'P 4/m m m'
_symmetry_Int_Tables_number 123
_symmetry_space_group_name_Hall '-P 4 2'
_cell_length_a 4.9992
_cell_length_b 4.9992
_cell_length_c 5.1832
_cell_angle_alpha 90.00
_cell_angle_beta 90.00
_cell_angle_gamma 90.00
loop_
_atom_site_label
_atom_site_type_symbol
_atom_site_fract_x
_atom_site_fract_y
_atom_site_fract_z
Zn1 Zn 0.0000 0.0000 0.0000
Si1 Si 0.5000 0.5000 0.0000
Mo1 Mo 0.0000 0.5000 0.5000
I1 I 0.5000 0.5000 0.5000
```

Computed properties:
Fermi-level density of states: 3.1 states/eV per cell
Uncorrected formation energy: 2.1523 eV per atom

Entry 3:
# Zn2SiMoI

A geometry-optimized Zn2SiMoI structure (PBE, the Alexandria database).

Structure (CIF):
```
data_Zn2SiMoI
_symmetry_space_group_name_H-M 'P 4/m m m'
_symmetry_Int_Tables_number 123
_symmetry_space_group_name_Hall '-P 4 2'
_cell_length_a 5.2139
_cell_length_b 5.2139
_cell_length_c 4.7874
_cell_angle_alpha 90.00
_cell_angle_beta 90.00
_cell_angle_gamma 90.00
loop_
_atom_site_label
_atom_site_type_symbol
_atom_site_fract_x
_atom_site_fract_y
_atom_site_fract_z
Zn1 Zn 0.0000 0.5000 0.0000
Si1 Si 0.0000 0.0000 0.5000
Mo1 Mo 0.0000 0.0000 0.0000
I1 I 0.5000 0.5000 0.5000
```

Computed properties:
Fermi-level density of states: 4.6 states/eV per cell
Uncorrected formation energy: 0.8004 eV per atom